1.
Material: Er10Tl3Bi3
Method: DFT, PBE
State: relaxed

Its formation enthalpy at 0 K is -8.0 eV/f.u.

It has space group P-62m (No. 189), with a = 8.9739 Å, b = 8.9739 Å, c = 6.5528 Å, α = 90.00°, β = 90.00° and γ = 120.00°. Symmetry generates all atoms from Er at (0.0000, 0.2345, 0.0000), Er at (0.0000, 0.7644, 0.5000), Er at (0.3333, 0.6667, 0.2570), Tl at (0.0000, 0.3933, 0.5000) and Bi at (0.0000, 0.6035, 0.0000).


2.
Material: Ce2Ga4GeAu3
Method: DFT, PBE
State: relaxed

Its formation enthalpy at 0 K is -5.6 eV/f.u.

It has space group P-4m2 (No. 115), with a = 4.476 Å, b = 4.476 Å, c = 10.369 Å, α = 90.00°, β = 90.00° and γ = 90.00°. Symmetry generates all atoms from Ce at (0.000, 0.500, 0.247), Ga at (0.000, 0.000, 0.500), Ga at (0.000, 0.500, 0.869), Ga at (0.500, 0.500, 0.500), Ge at (0.500, 0.500, 0.000), Au at (0.000, 0.000, 0.000) and Au at (0.000, 0.500, 0.629).


3.
Material: LiGdLuSc
Method: DFT, PBE
State: relaxed

Its formation enthalpy at 0 K is 0.6 eV/f.u.

It has space group F-43m (No. 216), with a = 7.510 Å, b = 7.510 Å, c = 7.510 Å, α = 90.00°, β = 90.00° and γ = 90.00°. Symmetry generates all atoms from Li at (0.000, 0.000, 0.000), Gd at (0.250, 0.250, 0.250), Lu at (0.250, 0.250, 0.750) and Sc at (0.000, 0.000, 0.500).


4.
Material: Eu2TlP
Method: DFT, PBE
State: relaxed

Its formation enthalpy at 0 K is -2.9 eV/f.u. The calculation puts the energy relative to the lowest polymorph listed for this composition at 15 meV per atom.

It has space group P4/mmm (No. 123), with a = 3.795 Å, b = 3.795 Å, c = 7.490 Å, α = 90.00°, β = 90.00° and γ = 90.00°. Symmetry generates all atoms from Eu at (0.000, 0.000, 0.207), Tl at (0.500, 0.500, 0.500) and P at (0.500, 0.500, 0.000).


Repeat the second record exactly.
Material: Ce2Ga4GeAu3
Method: DFT, PBE
State: relaxed

Its formation enthalpy at 0 K is -5.6 eV/f.u.

It has space group P-4m2 (No. 115), with a = 4.476 Å, b = 4.476 Å, c = 10.369 Å, α = 90.00°, β = 90.00° and γ = 90.00°. Symmetry generates all atoms from Ce at (0.000, 0.500, 0.247), Ga at (0.000, 0.000, 0.500), Ga at (0.000, 0.500, 0.869), Ga at (0.500, 0.500, 0.500), Ge at (0.500, 0.500, 0.000), Au at (0.000, 0.000, 0.000) and Au at (0.000, 0.500, 0.629).


Repeat the third record exactly.
Material: LiGdLuSc
Method: DFT, PBE
State: relaxed

Its formation enthalpy at 0 K is 0.6 eV/f.u.

It has space group F-43m (No. 216), with a = 7.510 Å, b = 7.510 Å, c = 7.510 Å, α = 90.00°, β = 90.00° and γ = 90.00°. Symmetry generates all atoms from Li at (0.000, 0.000, 0.000), Gd at (0.250, 0.250, 0.250), Lu at (0.250, 0.250, 0.750) and Sc at (0.000, 0.000, 0.500).